A crystal of CsFeSbPd2 relaxed with PBEsol, computed with SCAN. Values from VASP.

Computed properties:
Formation energy from raw total energies ... 1.03 eV/atom
Crystal system ... tetragonal
Raw total energy ... -30.721 eV per atom

Cell and atoms, written as Quantum ESPRESSO input:
```
&SYSTEM
  ibrav = 0, nat = 5, ntyp = 4
/
ATOMIC_SPECIES
Cs 132.91 Cs.upf
Fe 55.84 Fe.upf
Sb 121.76 Sb.upf
Pd 106.42 Pd.upf
CELL_PARAMETERS angstrom
4.821 0.000 0.000
0.000 4.821 0.000
0.000 0.000 5.088
ATOMIC_POSITIONS crystal
Cs 0.000 0.000 0.000
Fe 0.000 0.000 0.500
Sb 0.500 0.500 0.000
Pd 0.000 0.500 0.500
Pd 0.500 0.000 0.500
```

***

A crystal of CsFeRe3 relaxed with PBEsol, computed with SCAN. Values from VASP.

Computed properties:
ΔE_f ... 2318 meV/atom
Crystal system ... cubic
Raw total energy ... -51.529 eV per atom

Cell and atoms, written as Quantum ESPRESSO input:
```
&SYSTEM
  ibrav = 0, nat = 5, ntyp = 3
/
ATOMIC_SPECIES
Cs 132.91 Cs.upf
Fe 55.84 Fe.upf
Re 186.21 Re.upf
CELL_PARAMETERS angstrom
4.589 0.000 0.000
0.000 4.589 0.000
0.000 0.000 4.589
ATOMIC_POSITIONS crystal
Cs 0.000 0.000 0.000
Fe 0.500 0.500 0.500
Re 0.000 0.500 0.500
Re 0.500 0.000 0.500
Re 0.500 0.500 0.000
```

***

A crystal of CsZrFe2Rh relaxed with PBEsol, computed with SCAN. Values from VASP.

Computed properties:
ΔE_f ... 1462 meV/atom
Crystal system ... tetragonal
Raw total energy ... -26.246 eV per atom

Cell and atoms, written as Quantum ESPRESSO input:
```
&SYSTEM
  ibrav = 0, nat = 5, ntyp = 4
/
ATOMIC_SPECIES
Cs 132.91 Cs.upf
Zr 91.22 Zr.upf
Fe 55.84 Fe.upf
Rh 102.91 Rh.upf
CELL_PARAMETERS angstrom
4.704 0.000 0.000
0.000 4.704 0.000
0.000 0.000 5.157
ATOMIC_POSITIONS crystal
Cs 0.000 0.000 0.000
Zr 0.500 0.500 0.000
Fe 0.000 0.500 0.500
Fe 0.500 0.000 0.500
Rh 0.000 0.000 0.500
```